# Ta2InBMo, optimized geometry, DFT PBE
data_Ta2InBMo
_chemical_formula_sum 'Ta2 In1 B1 Mo1'
_cell_length_a 4.941
_cell_length_b 4.941
_cell_length_c 4.151
_cell_angle_alpha 90.00
_cell_angle_beta 90.00
_cell_angle_gamma 90.00
_symmetry_space_group_name_H-M 'P 4/m m m'
_symmetry_Int_Tables_number 123
_symmetry_space_group_name_Hall '-P 4 2'
loop_
_atom_site_label
_atom_site_fract_x
_atom_site_fract_y
_atom_site_fract_z
Ta1 0.000 0.500 0.000
In1 0.000 0.000 0.500
B1 0.500 0.500 0.500
Mo1 0.500 0.500 0.000
# Volume in Å³ per cell: 101
# Total magnetization in μB/f.u.: 0.00
# Formation enthalpy at 0 K in kJ/mol of formula units: 648
# Density of states at the Fermi level in states/eV/atom: 0.883